Material: InCuSiTe3
Method: DFT, PBE
State: optimized geometry

Unit cell a=6.769 b=6.769 c=11.315 alpha=90.00 beta=90.00 gamma=144.51
Sites, in units of the cell vectors:
1 In 0.237 0.763 0.750
2 In 0.763 0.237 0.250
3 Cu 0.100 0.900 0.250
4 Cu 0.900 0.100 0.750
5 Si 0.500 0.500 0.000
6 Si 0.500 0.500 0.500
7 Te 0.145 0.855 0.028
8 Te 0.145 0.855 0.472
9 Te 0.464 0.536 0.250
10 Te 0.536 0.464 0.750
11 Te 0.855 0.145 0.528
12 Te 0.855 0.145 0.972

Summary:
Space group: Cmcm, No. 63


Material: Tm4InCu2Si4
Method: DFT, PBE
State: optimized geometry

Unit cell a=7.870 b=7.870 c=6.944 alpha=107.89 beta=107.89 gamma=30.67
Sites, in units of the cell vectors:
1 Tm 0.089 0.089 0.384
2 Tm 0.153 0.153 0.931
3 Tm 0.847 0.847 0.069
4 Tm 0.911 0.911 0.616
5 In 0.500 0.500 0.000
6 Cu 0.283 0.283 0.364
7 Cu 0.717 0.717 0.636
8 Si 0.301 0.301 0.747
9 Si 0.439 0.439 0.345
10 Si 0.561 0.561 0.655
11 Si 0.699 0.699 0.253

Summary:
Space group: C2/m, No. 12


Material: In2CuSn
Method: DFT, PBE
State: optimized geometry

Unit cell a=5.096 b=5.096 c=5.096 alpha=60.00 beta=60.00 gamma=60.00
Sites, in units of the cell vectors:
1 In 0.000 0.000 0.000
2 In 0.250 0.250 0.250
3 Cu 0.750 0.750 0.750
4 Sn 0.500 0.500 0.500

Summary:
Space group: F-43m, No. 216


Material: InCuSnTe3
Method: DFT, PBE
State: optimized geometry

Unit cell a=7.094 b=7.094 c=11.932 alpha=90.00 beta=90.00 gamma=145.64
Sites, in units of the cell vectors:
1 In 0.236 0.764 0.750
2 In 0.764 0.236 0.250
3 Cu 0.464 0.536 0.250
4 Cu 0.536 0.464 0.750
5 Sn 0.000 0.000 0.000
6 Sn 0.000 0.000 0.500
7 Te 0.086 0.914 0.250
8 Te 0.350 0.650 0.073
9 Te 0.350 0.650 0.427
10 Te 0.650 0.350 0.573
11 Te 0.650 0.350 0.927
12 Te 0.914 0.086 0.750

Summary:
Space group: Cmcm, No. 63


Material: InCuSnTe3
Method: DFT, PBE
State: optimized geometry

Unit cell a=7.110 b=7.110 c=11.543 alpha=90.00 beta=90.00 gamma=145.54
Sites, in units of the cell vectors:
1 In 0.000 0.000 0.000
2 In 0.000 0.000 0.500
3 Cu 0.460 0.540 0.750
4 Cu 0.540 0.460 0.250
5 Sn 0.235 0.765 0.250
6 Sn 0.765 0.235 0.750
7 Te 0.084 0.916 0.750
8 Te 0.353 0.647 0.563
9 Te 0.353 0.647 0.937
10 Te 0.647 0.353 0.063
11 Te 0.647 0.353 0.437
12 Te 0.916 0.084 0.250

Summary:
Space group: Cmcm, No. 63


Material: SrIn3Cu3
Method: DFT, PBE
State: optimized geometry

Unit cell a=4.374 b=7.626 c=8.732 alpha=90.00 beta=90.00 gamma=90.00
Sites, in units of the cell vectors:
1 Sr 0.250 0.250 0.231
2 Sr 0.750 0.750 0.769
3 In 0.250 0.053 0.622
4 In 0.250 0.447 0.622
5 In 0.250 0.750 0.129
6 In 0.750 0.250 0.871
7 In 0.750 0.553 0.378
8 In 0.750 0.947 0.378
9 Cu 0.250 0.025 0.928
10 Cu 0.250 0.475 0.928
11 Cu 0.250 0.750 0.455
12 Cu 0.750 0.250 0.545
13 Cu 0.750 0.525 0.072
14 Cu 0.750 0.975 0.072

Summary:
Space group: Pmmn, No. 59


Material: SrInCu6
Method: DFT, PBE
State: optimized geometry

Unit cell a=5.123 b=5.123 c=5.123 alpha=98.97 beta=98.97 gamma=98.97
Sites, in units of the cell vectors:
1 Sr 0.000 0.000 0.000
2 In 0.500 0.500 0.500
3 Cu 0.055 0.729 0.450
4 Cu 0.271 0.550 0.945
5 Cu 0.450 0.055 0.729
6 Cu 0.550 0.945 0.271
7 Cu 0.729 0.450 0.055
8 Cu 0.945 0.271 0.550

Summary:
Space group: R-3, No. 148


Material: TaIn2Cu
Method: DFT, PBE
State: optimized geometry

Unit cell a=4.772 b=4.772 c=4.772 alpha=60.00 beta=60.00 gamma=60.00
Sites, in units of the cell vectors:
1 Ta 0.000 0.000 0.000
2 In 0.500 0.500 0.500
3 In 0.750 0.750 0.750
4 Cu 0.250 0.250 0.250

Summary:
Space group: F-43m, No. 216


Material: TaInCuTc
Method: DFT, PBE
State: optimized geometry

Unit cell a=4.516 b=4.516 c=4.516 alpha=60.00 beta=60.00 gamma=60.00
Sites, in units of the cell vectors:
1 Ta 0.000 0.000 0.000
2 In 0.500 0.500 0.500
3 Cu 0.750 0.750 0.750
4 Tc 0.250 0.250 0.250

Summary:
Space group: F-43m, No. 216


Material: TaInCuTc
Method: DFT, PBE
State: optimized geometry

Unit cell a=4.539 b=4.539 c=4.539 alpha=60.00 beta=60.00 gamma=60.00
Sites, in units of the cell vectors:
1 Ta 0.000 0.000 0.000
2 In 0.250 0.250 0.250
3 Cu 0.500 0.500 0.500
4 Tc 0.750 0.750 0.750

Summary:
Space group: F-43m, No. 216


Material: TaInCuW
Method: DFT, PBE
State: optimized geometry

Unit cell a=4.586 b=4.586 c=4.586 alpha=60.00 beta=60.00 gamma=60.00
Sites, in units of the cell vectors:
1 Ta 0.000 0.000 0.000
2 In 0.500 0.500 0.500
3 Cu 0.750 0.750 0.750
4 W 0.250 0.250 0.250

Summary:
Space group: F-43m, No. 216


Material: YTaInCu
Method: DFT, PBE
State: optimized geometry

Unit cell a=4.918 b=4.918 c=4.918 alpha=60.00 beta=60.00 gamma=60.00
Sites, in units of the cell vectors:
1 Y 0.000 0.000 0.000
2 Ta 0.250 0.250 0.250
3 In 0.500 0.500 0.500
4 Cu 0.750 0.750 0.750

Summary:
Space group: F-43m, No. 216


| no. | calculated total energy (eV/atom) |
| --- | --- |
| 1 | -3.5609 |
| 2 | -5.1860 |
| 3 | -3.0778 |
| 4 | -3.4433 |
| 5 | -3.4481 |
| 6 | -3.1780 |
| 7 | -3.2190 |
| 8 | -4.6427 |
| 9 | -7.0372 |
| 10 | -6.8400 |
| 11 | -7.3667 |
| 12 | -5.7504 |